w) {"formula": "HoMg2Ga", "functional": "GGA-PBE", "state": "optimized geometry", "cell": [[1.598, 0.922, 10.961], [-1.598, 0.922, 10.961], [0.000, -1.845, 10.961]], "species": ["Ho", "Mg", "Mg", "Ga"], "fractional_positions": [[0.000, 0.000, 0.000], [0.097, 0.097, 0.097], [0.903, 0.903, 0.903], [0.500, 0.500, 0.500]], "mass_density_g_cm3": 4.9, "m_tot_mub_per_cell": 0.00}



x) {"formula": "HoMg2Ga", "functional": "GGA-PBE", "state": "optimized geometry", "cell": [[4.322, 0.000, 0.000], [0.000, 4.322, 0.000], [0.000, 0.000, 4.771]], "species": ["Ho", "Mg", "Mg", "Ga"], "fractional_positions": [[0.000, 0.000, 0.000], [0.000, 0.500, 0.500], [0.500, 0.000, 0.500], [0.500, 0.500, 0.000]], "mass_density_g_cm3": 5.3, "m_tot_mub_per_cell": 0.00}



Going by the computed energies, the most stable comes first: x), w).



w) {"formula": "HoMgTlGa", "functional": "GGA-PBE", "state": "optimized geometry", "cell": [[0.000, 3.602, 3.602], [3.602, 0.000, 3.602], [3.602, 3.602, 0.000]], "species": ["Ho", "Mg", "Tl", "Ga"], "fractional_positions": [[0.000, 0.000, 0.000], [0.500, 0.500, 0.500], [0.250, 0.250, 0.250], [0.750, 0.750, 0.750]], "mass_density_g_cm3": 8.2, "m_tot_mub_per_cell": 0.00}



x) {"formula": "HoMgTlGa", "functional": "GGA-PBE", "state": "optimized geometry", "cell": [[4.341, 0.000, 0.000], [0.000, 4.487, 0.000], [0.000, 0.000, 4.677]], "species": ["Ho", "Mg", "Tl", "Ga"], "fractional_positions": [[0.000, 0.000, 0.000], [0.000, 0.500, 0.500], [0.500, 0.000, 0.500], [0.500, 0.500, 0.000]], "mass_density_g_cm3": 8.4, "m_tot_mub_per_cell": 0.00}



Going by the computed energies, the most stable comes first: x), w).



w) {"formula": "Ho4Ga2N", "functional": "GGA-PBE", "state": "optimized geometry", "cell": [[-2.300, 2.300, 7.862], [2.300, -2.300, 7.862], [2.300, 2.300, -7.862]], "species": ["Ho", "Ho", "Ho", "Ho", "Ga", "Ga", "N"], "fractional_positions": [[0.000, 0.500, 0.500], [0.182, 0.182, 0.000], [0.500, 0.000, 0.500], [0.818, 0.818, 0.000], [0.364, 0.364, 0.000], [0.636, 0.636, 0.000], [0.500, 0.500, 0.000]], "mass_density_g_cm3": 8.1, "m_tot_mub_per_cell": 0.00}



x) {"formula": "Ho4Ga2N", "functional": "GGA-PBE", "state": "optimized geometry", "cell": [[7.440, -1.796, 0.000], [7.440, 1.796, 0.000], [-1.349, 0.000, 5.785]], "species": ["Ho", "Ho", "Ho", "Ho", "Ga", "Ga", "N"], "fractional_positions": [[0.068, 0.068, 0.272], [0.367, 0.367, 0.157], [0.633, 0.633, 0.843], [0.932, 0.932, 0.728], [0.260, 0.260, 0.662], [0.740, 0.740, 0.338], [0.500, 0.500, 0.000]], "mass_density_g_cm3": 8.7, "m_tot_mub_per_cell": 0.00}



Going by the computed energies, the most stable comes first: x), w).



w) {"formula": "NaHo2Ga", "functional": "GGA-PBE", "state": "optimized geometry", "cell": [[1.768, 1.021, 11.294], [-1.768, 1.021, 11.294], [0.000, -2.041, 11.294]], "species": ["Na", "Ho", "Ho", "Ga"], "fractional_positions": [[0.000, 0.000, 0.000], [0.104, 0.104, 0.104], [0.896, 0.896, 0.896], [0.500, 0.500, 0.500]], "mass_density_g_cm3": 5.7, "m_tot_mub_per_cell": 0.00}



x) {"formula": "NaHo2Ga", "functional": "GGA-PBE", "state": "optimized geometry", "cell": [[3.495, 0.000, 0.000], [0.000, 3.495, 0.000], [0.000, 0.000, 9.140]], "species": ["Na", "Ho", "Ho", "Ga"], "fractional_positions": [[0.000, 0.000, 0.000], [0.500, 0.500, 0.305], [0.500, 0.500, 0.695], [0.000, 0.000, 0.500]], "mass_density_g_cm3": 6.3, "m_tot_mub_per_cell": 0.00}



Going by the computed energies, the most stable comes first: x), w).



w) {"formula": "HoNbGa", "functional": "GGA-PBE", "state": "optimized geometry", "cell": [[-2.001, 2.001, 8.071], [2.001, -2.001, 8.071], [2.001, 2.001, -8.071]], "species": ["Ho", "Ho", "Nb", "Nb", "Ga", "Ga"], "fractional_positions": [[0.175, 0.175, 0.000], [0.825, 0.825, 0.000], [0.000, 0.500, 0.500], [0.500, 0.000, 0.500], [0.375, 0.375, 0.000], [0.625, 0.625, 0.000]], "mass_density_g_cm3": 8.4, "m_tot_mub_per_cell": 0.00}



x) {"formula": "HoNbGa", "functional": "GGA-PBE", "state": "optimized geometry", "cell": [[0.000, 4.555, 4.847], [2.812, 0.000, 4.847], [2.812, 4.555, 0.000]], "species": ["Ho", "Ho", "Nb", "Nb", "Ga", "Ga"], "fractional_positions": [[0.163, 0.837, 0.163], [0.837, 0.163, 0.837], [0.355, 0.355, 0.645], [0.645, 0.645, 0.355], [0.250, 0.250, 0.250], [0.750, 0.750, 0.750]], "mass_density_g_cm3": 8.8, "m_tot_mub_per_cell": 0.00}



Going by the computed energies, the most stable comes first: w), x).



w) {"formula": "HoNbGa4", "functional": "GGA-PBE", "state": "optimized geometry", "cell": [[-2.078, 3.611, 3.646], [2.078, -3.611, 3.646], [2.078, 3.611, -3.646]], "species": ["Ho", "Nb", "Ga", "Ga", "Ga", "Ga"], "fractional_positions": [[0.000, 0.000, 0.000], [0.500, 0.500, 0.000], [0.088, 0.753, 0.335], [0.418, 0.753, 0.665], [0.582, 0.247, 0.335], [0.912, 0.247, 0.665]], "mass_density_g_cm3": 8.1, "m_tot_mub_per_cell": 0.00}



x) {"formula": "HoNbGa4", "functional": "GGA-PBE", "state": "optimized geometry", "cell": [[0.000, 3.747, 3.747], [3.747, 0.000, 3.747], [3.747, 3.747, 0.000]], "species": ["Ho", "Nb", "Ga", "Ga", "Ga", "Ga"], "fractional_positions": [[0.000, 0.000, 0.000], [0.750, 0.750, 0.750], [0.375, 0.375, 0.375], [0.375, 0.375, 0.874], [0.375, 0.874, 0.375], [0.874, 0.375, 0.375]], "mass_density_g_cm3": 8.5, "m_tot_mub_per_cell": 0.00}



Going by the computed energies, the most stable comes first: x), w).